Ta2NiMo (PBE, optimized geometry); space-group type = No. 160; raw total energy = -39.4 eV for the cell shown
1.0
-4.152 -6.502 5.636
-5.049 -7.475 3.148
-2.519 -8.238 4.131
Ta Ni Mo
2 1 1
direct
0.248 0.248 0.248 Ta
0.008 0.008 0.008 Ta
0.751 0.751 0.751 Ni
0.492 0.492 0.492 Mo

=====

Ta2NiMo (PBE, optimized geometry); space-group type = No. 10; raw total energy = -40.3 eV for the cell shown
1.0
-2.611 1.399 -3.204
1.379 -1.524 -1.789
-2.897 -4.585 0.357
Ni Mo Ta
1 1 2
direct
0.500 0.750 0.750 Ni
0.500 0.250 0.250 Mo
0.000 0.009 0.001 Ta
0.000 0.491 0.499 Ta

=====

Ta2NiMo (PBE, optimized geometry); space-group type = No. 12; raw total energy = -40.3 eV for the cell shown
1.0
5.180 0.002 -0.003
-2.107 4.733 -0.003
0.486 0.748 2.603
Ta Ni Mo
2 1 1
direct
0.000 0.000 0.000 Ta
0.500 0.500 0.000 Ta
0.000 0.500 0.500 Ni
0.500 0.000 0.500 Mo

=====

TaNiMo2 (PBE, optimized geometry); space-group type = No. 99; raw total energy = -39.5 eV for the cell shown
1.0
-0.122 -2.375 2.152
2.192 1.509 1.790
-4.328 2.848 2.898
Ni Mo Ta
1 2 1
direct
0.000 0.000 0.506 Ni
0.500 0.500 0.251 Mo
0.000 0.000 0.009 Mo
0.500 0.500 0.734 Ta

=====

TaNiMo2 (PBE, optimized geometry); space-group type = No. 44; raw total energy = -39.1 eV for the cell shown
1.0
5.041 0.001 0.000
2.022 4.617 0.000
-3.102 -2.967 2.644
Mo Ni Ta
2 1 1
direct
0.755 0.255 0.500 Mo
0.995 0.995 0.000 Mo
0.501 0.501 0.000 Ni
0.248 0.748 0.500 Ta

=====

Ta2NiMo (PBE, optimized geometry); space-group type = No. 123; raw total energy = -40.9 eV for the cell shown
1.0
4.411 0.015 0.000
-0.015 4.411 0.000
0.000 0.000 3.253
Ta Mo Ni
2 1 1
direct
0.000 0.000 0.000 Ta
0.500 0.500 0.000 Ta
0.500 0.000 0.500 Mo
0.000 0.500 0.500 Ni

=====

Ta2NiMo (PBE, optimized geometry); space-group type = No. 6; raw total energy = -40.2 eV for the cell shown
1.0
-1.774 -3.567 -2.256
1.705 0.478 -2.097
4.000 -2.918 1.470
Ta Mo Ni
2 1 1
direct
0.000 0.990 0.988 Ta
0.500 0.257 0.262 Ta
0.000 0.507 0.485 Mo
0.500 0.746 0.765 Ni

=====

TaNiMo2 (PBE, optimized geometry); space-group type = No. 65; raw total energy = -38.6 eV for the cell shown
1.0
-0.747 0.421 -4.984
-4.135 -1.091 2.699
-0.496 2.612 0.295
Mo Ni Ta
2 1 1
direct
0.500 0.500 0.000 Mo
0.000 0.000 0.000 Mo
0.500 0.000 0.500 Ni
0.000 0.500 0.500 Ta

=====

What did the first record say?
Ta2NiMo (PBE, optimized geometry); space-group type = No. 160; raw total energy = -39.4 eV for the cell shown
1.0
-4.152 -6.502 5.636
-5.049 -7.475 3.148
-2.519 -8.238 4.131
Ta Ni Mo
2 1 1
direct
0.248 0.248 0.248 Ta
0.008 0.008 0.008 Ta
0.751 0.751 0.751 Ni
0.492 0.492 0.492 Mo

=====

Repeat the fourth record exactly.
TaNiMo2 (PBE, optimized geometry); space-group type = No. 99; raw total energy = -39.5 eV for the cell shown
1.0
-0.122 -2.375 2.152
2.192 1.509 1.790
-4.328 2.848 2.898
Ni Mo Ta
1 2 1
direct
0.000 0.000 0.506 Ni
0.500 0.500 0.251 Mo
0.000 0.000 0.009 Mo
0.500 0.500 0.734 Ta

=====

Which value of raw total energy does entry 8 give?
-38.6 eV for the cell shown